# 1
Entry from Alexandria: crystalline MgBeGe2S6 at its relaxed geometry (PBE).

Structure (POSCAR):
```
MgBeGe2S6
1.0
-3.451 -2.047 5.102
-3.380 -7.309 -2.418
5.355 -4.585 4.582
S Ge Mg Be
12 4 2 2
Direct
0.929 0.361 0.874
0.429 0.874 0.361
0.154 0.968 0.817
0.571 0.126 0.639
0.989 0.299 0.442
0.071 0.639 0.126
0.846 0.032 0.183
0.511 0.558 0.701
0.011 0.701 0.558
0.489 0.442 0.299
0.654 0.817 0.968
0.346 0.183 0.032
0.705 0.221 0.390
0.205 0.390 0.221
0.295 0.779 0.610
0.795 0.610 0.779
0.750 0.120 0.880
0.250 0.880 0.120
0.250 0.197 0.803
0.750 0.803 0.197
```

Theoretical density = 2.9 g/cm³
N(E_F) = 0.00 states/eV/f.u.
E_form (uncorrected) = -0.575 eV/atom
Electronic total energy = -4.507 eV per atom


# 2
Entry from Alexandria: crystalline NaScTc2Pt at its relaxed geometry (PBE).

Structure (POSCAR):
```
NaScTc2Pt
1.0
4.869 0.000 0.000
0.000 5.013 0.000
0.000 0.000 4.869
Na Tc Pt Sc
1 2 1 1
Direct
0.500 0.500 0.500
0.500 0.000 0.000
0.000 0.000 0.500
0.000 0.000 0.000
0.000 0.500 0.000
```

Theoretical density = 6.4 g/cm³
N(E_F) = 5.44 states/eV/f.u.
Electronic total energy = -5.893 eV per atom
Formation energy = 478.4 kJ/mol of formula units


# 3
Entry from Alexandria: crystalline MgCo2Ni at its relaxed geometry (PBE).

Structure (POSCAR):
```
MgCo2Ni
1.0
4.231 0.000 0.000
0.000 2.570 0.002
0.000 0.641 4.562
Co Ni Mg
2 1 1
Direct
0.000 0.544 0.513
0.000 0.956 0.987
0.500 0.750 0.750
0.500 0.250 0.250
```

Theoretical density = 6.7 g/cm³
N(E_F) = 4.19 states/eV/f.u.
Electronic total energy = -5.257 eV per atom
Formation energy = 54.0 kJ/mol of formula units


# 4
Entry from Alexandria: crystalline SrLaCl2 at its relaxed geometry (PBE).

Structure (POSCAR):
```
SrLaCl2
1.0
7.839 0.035 0.060
6.841 3.827 0.060
-0.046 -0.012 4.162
Cl Sr La
2 1 1
Direct
0.812 0.812 0.623
0.989 0.989 0.125
0.203 0.203 0.127
0.496 0.496 0.625
```

Theoretical density = 4.0 g/cm³
N(E_F) = 2.32 states/eV/f.u.
E above lowest polymorph = 0.091 eV/atom
E_form (uncorrected) = -1.489 eV/atom
Electronic total energy = -4.065 eV per atom


# 5
Entry from Alexandria: crystalline ScRePb at its relaxed geometry (PBE).

Structure (POSCAR):
```
ScRePb
1.0
-0.753 3.060 0.853
-1.267 -2.514 1.652
5.330 0.121 4.273
Pb Re Sc
1 1 1
Direct
0.000 0.000 0.022
0.667 0.333 0.345
0.333 0.667 0.633
```

Theoretical density = 11.5 g/cm³
N(E_F) = 3.58 states/eV/f.u.
E above lowest polymorph = 0.230 eV/atom
Electronic total energy = -7.104 eV per atom
Formation energy = 113.5 kJ/mol of formula units


# 6
Entry from Alexandria: crystalline AlSb at its relaxed geometry (PBE).

Structure (POSCAR):
```
AlSb
1.0
4.428 0.000 0.000
-2.214 3.835 0.000
0.000 0.000 21.866
Sb Al
6 6
Direct
0.667 0.333 0.768
0.333 0.667 0.101
0.333 0.667 0.232
0.000 0.000 0.434
0.667 0.333 0.899
0.000 0.000 0.566
0.667 0.333 0.274
0.000 0.000 0.059
0.333 0.667 0.607
0.333 0.667 0.726
0.667 0.333 0.393
0.000 0.000 0.941
```

Theoretical density = 4.0 g/cm³
N(E_F) = 0.25 states/eV/f.u.
E_form (uncorrected) = -0.018 eV/atom
Electronic total energy = -3.951 eV per atom


# 7
Entry from Alexandria: crystalline CuIN2F at its relaxed geometry (PBE).

Structure (POSCAR):
```
CuIN2F
1.0
-0.082 -2.843 2.433
-0.267 -2.423 -2.841
6.504 -0.411 -0.261
Cu I N F
1 1 2 1
Direct
0.000 0.000 0.000
0.000 0.000 0.500
0.000 0.500 0.000
0.500 0.000 0.000
0.500 0.500 0.500
```

Theoretical density = 4.3 g/cm³
N(E_F) = 3.43 states/eV/f.u.
E above lowest polymorph = 0.199 eV/atom
E_form (uncorrected) = 1.295 eV/atom
Electronic total energy = -3.538 eV per atom


Copy entry 5 word for word.
Entry from Alexandria: crystalline ScRePb at its relaxed geometry (PBE).

Structure (POSCAR):
```
ScRePb
1.0
-0.753 3.060 0.853
-1.267 -2.514 1.652
5.330 0.121 4.273
Pb Re Sc
1 1 1
Direct
0.000 0.000 0.022
0.667 0.333 0.345
0.333 0.667 0.633
```

Theoretical density = 11.5 g/cm³
N(E_F) = 3.58 states/eV/f.u.
E above lowest polymorph = 0.230 eV/atom
Electronic total energy = -7.104 eV per atom
Formation energy = 113.5 kJ/mol of formula units